*1*
{
  "formula": "HfPtIN2",
  "functional": "PBE",
  "state": "optimized geometry",
  "lattice_angstrom": [[-1.624, 3.197, -1.569], [-2.739, -2.224, -1.696], [-3.765, 0.652, 5.224]],
  "species": ["I", "Hf", "N", "Pt", "N"],
  "fractional_positions": [[0.000, 0.000, 0.500], [0.500, 0.500, 0.500], [0.000, 0.500, 0.000], [0.000, 0.000, 0.000], [0.500, 0.000, 0.000]],
  "sg": "P4/mmm, No. 123",
  "total_magnetization_mub_per_fu": 0.0,
  "n_ef_per_ev_cell": 4.5,
  "vol_a3_per_cell": 99.2
}

*2*
{
  "formula": "HfPtIN2",
  "functional": "PBE",
  "state": "optimized geometry",
  "lattice_angstrom": [[4.037, 0.000, 0.000], [0.000, 4.037, 0.000], [0.000, 0.000, 6.382]],
  "species": ["N", "Hf", "I", "N", "Pt"],
  "fractional_positions": [[0.000, 0.500, 0.000], [0.000, 0.000, 0.000], [0.000, 0.000, 0.500], [0.500, 0.000, 0.000], [0.500, 0.500, 0.500]],
  "sg": "P4/mmm, No. 123",
  "total_magnetization_mub_per_fu": 0.0,
  "n_ef_per_ev_cell": 4.3,
  "vol_a3_per_cell": 104.0
}

Which of them is the least stable? Correct choice: *1*.